A relaxed CrCdAu2 crystal, computed with PBE-GGA.

POSCAR file:
```
CrCdAu2
1.0
3.070 0.000 0.000
-1.535 2.659 0.000
0.000 0.000 27.182
Cr Cd Au
3 3 6
Cartesian
0.000 0.000 0.000
0.000 1.773 18.121
1.535 0.886 9.061
0.000 0.000 20.427
0.000 1.773 11.366
1.535 0.886 2.306
0.000 0.000 6.982
0.000 0.000 13.697
0.000 1.773 4.636
0.000 1.773 25.103
1.535 0.886 16.043
1.535 0.886 22.757
```

Results
final energy = -4.0538 eV/atom
energy of formation from the pure elements = 0.220 eV per atom
space-group type = R3m